one) Below is a geometry-optimized Tb7Y12Sc structure, with properties calculated at the GGA-PBE level.

Properties
The calculation puts the magnetic moment at 0.00 μB per cell. Its space-group type is R-3, No. 148.

a = 10.9787 Å, b = 10.9787 Å, c = 10.9787 Å
α = 116.01°, β = 116.01°, γ = 116.01°
Sites, in units of the cell vectors:
Tb (0.0000, 0.0000, 0.0000)
Tb (0.1495, 0.3134, 0.4461)
Tb (0.3134, 0.4461, 0.1495)
Tb (0.4461, 0.1495, 0.3134)
Tb (0.5539, 0.8505, 0.6866)
Tb (0.6866, 0.5539, 0.8505)
Tb (0.8505, 0.6866, 0.5539)
Y (0.0159, 0.5967, 0.8052)
Y (0.1948, 0.9841, 0.4033)
Y (0.2327, 0.3043, 0.7555)
Y (0.2445, 0.7673, 0.6957)
Y (0.3043, 0.7555, 0.2327)
Y (0.4033, 0.1948, 0.9841)
Y (0.5967, 0.8052, 0.0159)
Y (0.6957, 0.2445, 0.7673)
Y (0.7555, 0.2327, 0.3043)
Y (0.7673, 0.6957, 0.2445)
Y (0.8052, 0.0159, 0.5967)
Y (0.9841, 0.4033, 0.1948)
Sc (0.5000, 0.5000, 0.5000)



two) Below is a geometry-optimized Tb7Y12Sc structure, with properties calculated at the GGA-PBE level.

Properties
The calculation puts the magnetic moment at 0.00 μB per cell. Its space-group type is R-3, No. 148.

a = 9.2579 Å, b = 9.2579 Å, c = 9.2579 Å
α = 107.69°, β = 107.69°, γ = 107.69°
Sites, in units of the cell vectors:
Tb (0.0000, 0.0000, 0.0000)
Tb (0.1869, 0.5004, 0.5993)
Tb (0.4007, 0.8131, 0.4996)
Tb (0.4996, 0.4007, 0.8131)
Tb (0.5004, 0.5993, 0.1869)
Tb (0.5993, 0.1869, 0.5004)
Tb (0.8131, 0.4996, 0.4007)
Y (0.0976, 0.4387, 0.2006)
Y (0.1106, 0.2880, 0.8206)
Y (0.1794, 0.8894, 0.7120)
Y (0.2006, 0.0976, 0.4387)
Y (0.2880, 0.8206, 0.1106)
Y (0.4387, 0.2006, 0.0976)
Y (0.5613, 0.7994, 0.9024)
Y (0.7120, 0.1794, 0.8894)
Y (0.7994, 0.9024, 0.5613)
Y (0.8206, 0.1106, 0.2880)
Y (0.8894, 0.7120, 0.1794)
Y (0.9024, 0.5613, 0.7994)
Sc (0.5000, 0.5000, 0.5000)



Each structure's energy above the most stable one, in kJ/mol of atoms: one) 13.3; two) 0.0.



one) Below is a geometry-optimized Tb12Y7Sc structure, with properties calculated at the GGA-PBE level.

Properties
The calculation puts the magnetic moment at 0.00 μB per cell. Its space-group type is R-3, No. 148.

a = 8.7056 Å, b = 8.7056 Å, c = 8.7056 Å
α = 86.59°, β = 86.59°, γ = 86.59°
Sites, in units of the cell vectors:
Tb (0.1004, 0.4186, 0.3515)
Tb (0.2302, 0.3503, 0.7496)
Tb (0.2504, 0.7698, 0.6497)
Tb (0.3503, 0.7496, 0.2302)
Tb (0.3515, 0.1004, 0.4186)
Tb (0.4186, 0.3515, 0.1004)
Tb (0.5815, 0.6485, 0.8996)
Tb (0.6485, 0.8996, 0.5815)
Tb (0.6497, 0.2504, 0.7698)
Tb (0.7496, 0.2302, 0.3503)
Tb (0.7698, 0.6497, 0.2504)
Tb (0.8996, 0.5814, 0.6485)
Y (0.0045, 0.8995, 0.3500)
Y (0.1005, 0.6500, 0.9955)
Y (0.3500, 0.0045, 0.8995)
Y (0.5000, 0.5000, 0.5000)
Y (0.6500, 0.9955, 0.1005)
Y (0.8995, 0.3500, 0.0045)
Y (0.9955, 0.1005, 0.6500)
Sc (0.0000, 0.0000, 0.0000)



two) Below is a geometry-optimized Tb12Y7Sc structure, with properties calculated at the GGA-PBE level.

Properties
The calculation puts the magnetic moment at 0.00 μB per cell. Its space-group type is R-3, No. 148.

a = 10.9633 Å, b = 10.9633 Å, c = 10.9633 Å
α = 116.02°, β = 116.02°, γ = 116.02°
Sites, in units of the cell vectors:
Tb (0.0056, 0.7925, 0.5801)
Tb (0.2075, 0.4199, 0.9944)
Tb (0.2306, 0.7527, 0.2957)
Tb (0.2473, 0.7043, 0.7694)
Tb (0.2957, 0.2306, 0.7527)
Tb (0.4199, 0.9944, 0.2075)
Tb (0.5801, 0.0056, 0.7925)
Tb (0.7043, 0.7694, 0.2473)
Tb (0.7527, 0.2957, 0.2306)
Tb (0.7694, 0.2473, 0.7043)
Tb (0.7925, 0.5801, 0.0056)
Tb (0.9944, 0.2075, 0.4199)
Y (0.0000, 0.0000, 0.0000)
Y (0.1386, 0.4373, 0.3009)
Y (0.3009, 0.1386, 0.4373)
Y (0.4373, 0.3009, 0.1386)
Y (0.5627, 0.6991, 0.8614)
Y (0.6991, 0.8614, 0.5627)
Y (0.8614, 0.5627, 0.6991)
Sc (0.5000, 0.5000, 0.5000)



Each structure's energy above the most stable one, in kJ/mol of atoms: one) 0.0; two) 5.9.



one) Below is a geometry-optimized Tb4Y5Sc structure, with properties calculated at the GGA-PBE level.

Properties
The calculation puts the magnetic moment at 0.00 μB per cell. Its space-group type is C2/m, No. 12.

a = 9.7937 Å, b = 9.7937 Å, c = 9.4530 Å
α = 100.13°, β = 100.13°, γ = 21.06°
Sites, in units of the cell vectors:
Tb (0.0660, 0.0660, 0.2830)
Tb (0.3208, 0.3208, 0.4919)
Tb (0.6792, 0.6792, 0.5081)
Tb (0.9340, 0.9340, 0.7170)
Y (0.1140, 0.1140, 0.7821)
Y (0.2140, 0.2140, 0.1443)
Y (0.5000, 0.5000, 0.0000)
Y (0.7860, 0.7860, 0.8557)
Y (0.8860, 0.8860, 0.2179)
Sc (0.5000, 0.5000, 0.5000)



two) Below is a geometry-optimized Tb4Y5Sc structure, with properties calculated at the GGA-PBE level.

Properties
The calculation puts the magnetic moment at 0.00 μB per cell. Its space-group type is I4mm, No. 107.

a = 8.0341 Å, b = 8.0341 Å, c = 8.0341 Å
α = 97.46°, β = 97.46°, γ = 137.77°
Sites, in units of the cell vectors:
Tb (0.0000, 0.3243, 0.3243)
Tb (0.0000, 0.6757, 0.6757)
Tb (0.3243, 0.0000, 0.3243)
Tb (0.6757, 0.0000, 0.6757)
Y (0.2984, 0.2984, 0.6261)
Y (0.2984, 0.6723, 0.0000)
Y (0.6723, 0.2984, 0.0000)
Y (0.6723, 0.6723, 0.3739)
Y (0.7796, 0.7796, 0.0000)
Sc (0.2469, 0.2469, 0.0000)



Each structure's energy above the most stable one, in kJ/mol of atoms: one) 0.0; two) 9.7.



one) Below is a geometry-optimized Tb5YSc structure, with properties calculated at the GGA-PBE level.

Properties
The calculation puts the magnetic moment at 0.00 μB per cell. Its space-group type is Immm, No. 71.

a = 7.8098 Å, b = 7.8098 Å, c = 7.8098 Å
α = 137.11°, β = 114.22°, γ = 81.78°
Sites, in units of the cell vectors:
Tb (0.0000, 0.0000, 0.0000)
Tb (0.2422, 0.7422, 0.5000)
Tb (0.3171, 0.5000, 0.8171)
Tb (0.6829, 0.5000, 0.1829)
Tb (0.7578, 0.2578, 0.5000)
Y (0.5000, 0.0000, 0.5000)
Sc (0.0000, 0.5000, 0.5000)



two) Below is a geometry-optimized Tb5YSc structure, with properties calculated at the GGA-PBE level.

Properties
The calculation puts the magnetic moment at 0.00 μB per cell. Its space-group type is C2/c, No. 15.

a = 5.9644 Å, b = 5.9644 Å, c = 12.8634 Å
α = 90.15°, β = 90.15°, γ = 78.35°
Sites, in units of the cell vectors:
Tb (0.0985, 0.9015, 0.7500)
Tb (0.1743, 0.4215, 0.6137)
Tb (0.1758, 0.4230, 0.8874)
Tb (0.4215, 0.1743, 0.1137)
Tb (0.4230, 0.1758, 0.3874)
Tb (0.5770, 0.8242, 0.6126)
Tb (0.5785, 0.8257, 0.8863)
Tb (0.8242, 0.5770, 0.1126)
Tb (0.8257, 0.5785, 0.3863)
Tb (0.9015, 0.0985, 0.2500)
Y (0.3070, 0.6930, 0.2500)
Y (0.6930, 0.3070, 0.7500)
Sc (0.0000, 0.0000, 0.0000)
Sc (0.0000, 0.0000, 0.5000)



Each structure's energy above the most stable one, in kJ/mol of atoms: one) 80.5; two) 0.0.



one) Below is a geometry-optimized Tb12Y5Sc2 structure, with properties calculated at the GGA-PBE level.

Properties
The calculation puts the magnetic moment at 0.00 μB per cell. Its space-group type is C2/m, No. 12.

a = 10.1789 Å, b = 10.1789 Å, c = 9.7637 Å
α = 115.58°, β = 115.58°, γ = 42.46°
Sites, in units of the cell vectors:
Tb (0.0026, 0.0026, 0.2001)
Tb (0.0803, 0.5960, 0.5095)
Tb (0.0871, 0.5935, 0.1529)
Tb (0.4040, 0.9197, 0.4905)
Tb (0.4065, 0.9129, 0.8471)
Tb (0.4961, 0.4961, 0.6834)
Tb (0.5039, 0.5039, 0.3166)
Tb (0.5935, 0.0871, 0.1529)
Tb (0.5960, 0.0803, 0.5095)
Tb (0.9129, 0.4065, 0.8471)
Tb (0.9197, 0.4040, 0.4905)
Tb (0.9974, 0.9974, 0.7999)
Y (0.0000, 0.0000, 0.5000)
Y (0.1780, 0.1780, 0.1778)
Y (0.3209, 0.3209, 0.8108)
Y (0.6791, 0.6791, 0.1892)
Y (0.8220, 0.8220, 0.8222)
Sc (0.3063, 0.6937, 0.0000)
Sc (0.6937, 0.3063, 0.0000)



two) Below is a geometry-optimized Tb12Y5Sc2 structure, with properties calculated at the GGA-PBE level.

Properties
The calculation puts the magnetic moment at 0.00 μB per cell. Its space-group type is P-1, No. 2.

a = 6.7258 Å, b = 8.8615 Å, c = 10.8594 Å
α = 108.06°, β = 92.55°, γ = 100.46°
Sites, in units of the cell vectors:
Tb (0.0057, 0.1204, 0.4095)
Tb (0.1069, 0.9364, 0.0923)
Tb (0.1239, 0.7305, 0.2841)
Tb (0.3852, 0.3566, 0.6927)
Tb (0.4098, 0.1078, 0.8844)
Tb (0.4120, 0.2583, 0.2545)
Tb (0.5880, 0.7417, 0.7455)
Tb (0.5903, 0.8922, 0.1156)
Tb (0.6148, 0.6434, 0.3073)
Tb (0.8761, 0.2695, 0.7159)
Tb (0.8931, 0.0636, 0.9077)
Tb (0.9943, 0.8796, 0.5905)
Y (0.0870, 0.6731, 0.7920)
Y (0.2462, 0.4711, 0.0116)
Y (0.5000, 0.0000, 0.5000)
Y (0.7538, 0.5289, 0.9884)
Y (0.9130, 0.3269, 0.2080)
Sc (0.2504, 0.5428, 0.4909)
Sc (0.7496, 0.4572, 0.5091)



Each structure's energy above the most stable one, in kJ/mol of atoms: one) 4.5; two) 0.0.



one) Below is a geometry-optimized TbY4Sc5 structure, with properties calculated at the GGA-PBE level.

Properties
The calculation puts the magnetic moment at 0.00 μB per cell. Its space-group type is I4mm, No. 107.

a = 7.7313 Å, b = 7.7313 Å, c = 7.7313 Å
α = 97.62°, β = 97.62°, γ = 137.29°
Sites, in units of the cell vectors:
Tb (0.0000, 0.0000, 0.0000)
Y (0.2496, 0.5688, 0.3192)
Y (0.2496, 0.9304, 0.6808)
Y (0.5688, 0.2496, 0.3192)
Y (0.9304, 0.2496, 0.6808)
Sc (0.4795, 0.4795, 0.0000)
Sc (0.5398, 0.5398, 0.6216)
Sc (0.5398, 0.9182, 0.0000)
Sc (0.9182, 0.5398, 0.0000)
Sc (0.9182, 0.9182, 0.3784)



two) Below is a geometry-optimized TbY4Sc5 structure, with properties calculated at the GGA-PBE level.

Properties
The calculation puts the magnetic moment at 0.07 μB per cell. Its space-group type is C2/m, No. 12.

a = 8.3246 Å, b = 8.3246 Å, c = 10.8624 Å
α = 108.67°, β = 108.67°, γ = 23.43°
Sites, in units of the cell vectors:
Tb (0.0000, 0.0000, 0.0000)
Y (0.1090, 0.1090, 0.7930)
Y (0.4089, 0.4089, 0.6964)
Y (0.5911, 0.5911, 0.3036)
Y (0.8910, 0.8910, 0.2070)
Sc (0.0000, 0.0000, 0.5000)
Sc (0.2872, 0.2872, 0.3815)
Sc (0.3074, 0.3074, 0.9195)
Sc (0.6926, 0.6926, 0.0805)
Sc (0.7128, 0.7128, 0.6185)



Each structure's energy above the most stable one, in kJ/mol of atoms: one) 13.5; two) 0.0.



one) Below is a geometry-optimized Tb8YSc2 structure, with properties calculated at the GGA-PBE level.

Properties
The calculation puts the magnetic moment at 0.00 μB per cell. Its space-group type is Immm, No. 71.

a = 9.1579 Å, b = 9.1579 Å, c = 9.1579 Å
α = 145.81°, β = 126.30°, γ = 65.21°
Sites, in units of the cell vectors:
Tb (0.1540, 0.3571, 0.7970)
Tb (0.1615, 0.1615, 0.0000)
Tb (0.3017, 0.0000, 0.3017)
Tb (0.4399, 0.6429, 0.7970)
Tb (0.5601, 0.3571, 0.2030)
Tb (0.6983, 0.0000, 0.6983)
Tb (0.8385, 0.8385, 0.0000)
Tb (0.8460, 0.6429, 0.2030)
Y (0.0000, 0.5000, 0.5000)
Sc (0.2980, 0.7980, 0.5000)
Sc (0.7020, 0.2020, 0.5000)



two) Below is a geometry-optimized Tb8YSc2 structure, with properties calculated at the GGA-PBE level.

Properties
The calculation puts the magnetic moment at 0.00 μB per cell. Its space-group type is C2/m, No. 12.

a = 9.1630 Å, b = 9.1630 Å, c = 5.8089 Å
α = 105.90°, β = 105.90°, γ = 121.87°
Sites, in units of the cell vectors:
Tb (0.0967, 0.3408, 0.6805)
Tb (0.2075, 0.7925, 0.0000)
Tb (0.3408, 0.0967, 0.6805)
Tb (0.4327, 0.4327, 0.2082)
Tb (0.5673, 0.5673, 0.7918)
Tb (0.6592, 0.9033, 0.3195)
Tb (0.7925, 0.2075, 0.0000)
Tb (0.9033, 0.6592, 0.3195)
Y (0.0000, 0.0000, 0.0000)
Sc (0.3112, 0.6888, 0.5000)
Sc (0.6888, 0.3112, 0.5000)



Each structure's energy above the most stable one, in kJ/mol of atoms: one) 0.0; two) 4.0.



one) Below is a geometry-optimized Tb6Y8Sc structure, with properties calculated at the GGA-PBE level.

Properties
The calculation puts the magnetic moment at 0.00 μB per cell. Its space-group type is P-3, No. 147.

a = 9.8622 Å, b = 9.8622 Å, c = 5.7453 Å
α = 90.00°, β = 90.00°, γ = 120.00°
Sites, in units of the cell vectors:
Tb (0.0918, 0.4705, 0.2593)
Tb (0.3786, 0.9082, 0.2593)
Tb (0.4705, 0.3786, 0.7407)
Tb (0.5295, 0.6214, 0.2593)
Tb (0.6214, 0.0918, 0.7407)
Tb (0.9082, 0.5295, 0.7407)
Y (0.0503, 0.2696, 0.7674)
Y (0.2194, 0.9497, 0.7674)
Y (0.2696, 0.2194, 0.2326)
Y (0.3333, 0.6667, 0.7664)
Y (0.6667, 0.3333, 0.2336)
Y (0.7304, 0.7806, 0.7674)
Y (0.7806, 0.0503, 0.2326)
Y (0.9497, 0.7304, 0.2326)
Sc (0.0000, 0.0000, 0.5000)



two) Below is a geometry-optimized Tb6Y8Sc structure, with properties calculated at the GGA-PBE level.

Properties
The calculation puts the magnetic moment at 0.00 μB per cell. Its space-group type is R-3, No. 148.

a = 8.1028 Å, b = 8.1028 Å, c = 8.1028 Å
α = 73.73°, β = 73.73°, γ = 73.73°
Sites, in units of the cell vectors:
Tb (0.0658, 0.2837, 0.6192)
Tb (0.2837, 0.6192, 0.0658)
Tb (0.3808, 0.9342, 0.7163)
Tb (0.6192, 0.0658, 0.2837)
Tb (0.7163, 0.3808, 0.9342)
Tb (0.9342, 0.7163, 0.3808)
Y (0.0696, 0.6496, 0.7679)
Y (0.2321, 0.9304, 0.3504)
Y (0.3504, 0.2321, 0.9304)
Y (0.4100, 0.4100, 0.4100)
Y (0.5900, 0.5900, 0.5900)
Y (0.6496, 0.7679, 0.0696)
Y (0.7679, 0.0696, 0.6496)
Y (0.9304, 0.3504, 0.2321)
Sc (0.0000, 0.0000, 0.0000)



Each structure's energy above the most stable one, in kJ/mol of atoms: one) 0.0; two) 4.2.